# 1
Here is an optimized crystal structure of Hf2VAs2 from Alexandria via LeMat-Bulk. Energies are from PBE.

a b c (Å): 3.5834 5.3888 10.0265
angles (deg): 101.02 90.00 90.00
Atoms (fractional coordinates):
Hf 0.2500 0.4048 0.7826
Hf 0.2500 0.2207 0.3790
Hf 0.7500 0.7793 0.6210
Hf 0.7500 0.5952 0.2174
V 0.7500 0.7417 0.9586
V 0.2500 0.2583 0.0414
As 0.7500 0.2648 0.5835
As 0.7500 0.0770 0.1690
As 0.2500 0.9230 0.8310
As 0.2500 0.7352 0.4165

Computed properties:
D(E_F): 0.4650 states/eV/atom
magnetization: 0.00 Bohr magnetons per cell
final energy: -8.240 eV/atom
calculated formation energy: -0.576 eV per atom
space-group type: P2_1/m

# 2
Here is an optimized crystal structure of HfVAs2 from Alexandria via LeMat-Bulk. Energies are from PBE.

a b c (Å): 4.5491 4.5491 4.5491
angles (deg): 60.00 60.00 60.00
Atoms (fractional coordinates):
As 0.2500 0.2500 0.2500
As 0.7500 0.7500 0.7500
Hf 0.5000 0.5000 0.5000
V 0.0000 0.0000 0.0000

Computed properties:
D(E_F): 0.7243 states/eV/atom
magnetization: 0.00 Bohr magnetons per cell
final energy: -7.506 eV/atom
calculated formation energy: -0.414 eV per atom
space-group type: Fm-3m

# 3
Here is an optimized crystal structure of HfV3As2 from Alexandria via LeMat-Bulk. Energies are from PBE.

a b c (Å): 3.4860 8.5340 7.7893
angles (deg): 123.40 90.00 101.79
Atoms (fractional coordinates):
Hf 0.8850 0.7701 0.8966
Hf 0.1150 0.2299 0.1034
V 0.3093 0.6185 0.5218
V 0.9481 0.8962 0.5426
V 0.6404 0.2809 0.8135
V 0.3596 0.7191 0.1865
V 0.0519 0.1038 0.4574
V 0.6907 0.3815 0.4782
As 0.4862 0.9723 0.8011
As 0.5138 0.0277 0.1989
As 0.7640 0.5280 0.2398
As 0.2360 0.4720 0.7602

Computed properties:
D(E_F): 0.7423 states/eV/atom
magnetization: 0.00 Bohr magnetons per cell
final energy: -8.185 eV/atom
calculated formation energy: -0.417 eV per atom
space-group type: C2/m

# 4
Here is an optimized crystal structure of HfV2As from Alexandria via LeMat-Bulk. Energies are from PBE.

a b c (Å): 7.3862 7.3862 5.8289
angles (deg): 50.69 50.69 90.00
Atoms (fractional coordinates):
As 0.5000 0.5000 0.0000
As 0.2500 0.7500 0.5000
Hf 0.0000 0.0000 0.0000
Hf 0.7500 0.2500 0.5000
V 0.5700 0.1250 0.2500
V 0.1800 0.6250 0.2500
V 0.3750 0.4300 0.7500
V 0.8750 0.8200 0.7500

Computed properties:
D(E_F): 1.1939 states/eV/atom
magnetization: 0.00 Bohr magnetons per cell
final energy: -8.008 eV/atom
calculated formation energy: 0.202 eV per atom
space-group type: I-42d

Question: What is the magnetization in the first record?
Answer: 0.00 Bohr magnetons per cell

Repeat the second record exactly.
Here is an optimized crystal structure of HfVAs2 from Alexandria via LeMat-Bulk. Energies are from PBE.

a b c (Å): 4.5491 4.5491 4.5491
angles (deg): 60.00 60.00 60.00
Atoms (fractional coordinates):
As 0.2500 0.2500 0.2500
As 0.7500 0.7500 0.7500
Hf 0.5000 0.5000 0.5000
V 0.0000 0.0000 0.0000

Computed properties:
D(E_F): 0.7243 states/eV/atom
magnetization: 0.00 Bohr magnetons per cell
final energy: -7.506 eV/atom
calculated formation energy: -0.414 eV per atom
space-group type: Fm-3m

Question: Look up the calculated formation energy of the first one.
Answer: -0.576 eV per atom

Question: Number 1 is which compound?
Answer: Hf2VAs2